# La8Co2S PBE optimized geometry
data_La8Co2S
_symmetry_space_group_name_H-M 'C 1 2/m 1'
_symmetry_Int_Tables_number 12
_symmetry_space_group_name_Hall '-C 2y'
_cell_length_a 19.2343
_cell_length_b 3.8746
_cell_length_c 9.0307
_cell_angle_alpha 90.00
_cell_angle_beta 94.18
_cell_angle_gamma 90.00
loop_
_atom_site_label
_atom_site_fract_x
_atom_site_fract_y
_atom_site_fract_z
La1 0.0177 0.0000 0.2277
La2 0.1066 0.5000 0.5602
La3 0.1523 0.5000 0.9643
La4 0.2204 0.0000 0.3304
Co1 0.1689 0.0000 0.7405
S1 0.0000 0.5000 0.0000
# - raw total energy (eV per atom) = -5.64